Record 1
First-principles (GGA-PBE) data for Pm4Pr3Sc2 after structural relaxation, as listed in Alexandria.

Calculated values
The calculation puts the calculated volume at 32.60 Å³/atom. The calculation puts the energy above the lowest structure with this stoichiometry at 0.0 kJ per mole of atoms. As for the formation energy: 0.39 eV per formula unit. Its density of states at the Fermi level is 26.5 states/eV/cell.

Unit cell a=11.346 b=5.073 c=10.741 alpha=90.00 beta=108.36 gamma=90.00
Space group C2/m (No. 12)
Inequivalent atoms, fractional coordinates:
Pm 0.003 0.000 0.172 (multiplicity 4)
Pm 0.168 0.500 0.390 (multiplicity 4)
Pr 0.000 0.000 0.500 (multiplicity 2)
Pr 0.169 0.500 0.056 (multiplicity 4)
Sc 0.166 0.500 0.721 (multiplicity 4)

Record 2
First-principles (GGA-PBE) data for Pu2TaGe3Ir4 after structural relaxation, as listed in Alexandria.

Calculated values
The calculation puts the calculated volume at 18.65 Å³/atom. As for the formation energy: -5.66 eV per formula unit. Its density of states at the Fermi level is 26.3 states/eV/cell.

Unit cell a=4.154 b=4.154 c=10.806 alpha=90.00 beta=90.00 gamma=90.00
Space group P-4m2 (No. 115)
Inequivalent atoms, fractional coordinates:
Pu 0.000 0.500 0.240 (multiplicity 2)
Ta 0.000 0.000 0.500 (multiplicity 1)
Ge 0.000 0.500 0.871 (multiplicity 2)
Ge 0.500 0.500 0.500 (multiplicity 1)
Ir 0.000 0.000 0.000 (multiplicity 1)
Ir 0.000 0.500 0.642 (multiplicity 2)
Ir 0.500 0.500 0.000 (multiplicity 1)

Record 3
First-principles (GGA-PBE) data for Li2Ga2HgBr6 after structural relaxation, as listed in Alexandria.

Calculated values
The calculation puts the calculated volume at 35.39 Å³/atom. Its density of states at the Fermi level is 0.0 states/eV/cell. For the uncorrected formation energy, the calculation gives -925 meV per atom.

Unit cell a=6.998 b=7.109 c=9.120 alpha=72.70 beta=68.19 gamma=70.54
Space group P-1 (No. 2)
Inequivalent atoms, fractional coordinates:
Li 0.196 0.314 0.356 (multiplicity 2)
Ga 0.090 0.977 0.860 (multiplicity 2)
Hg 0.500 0.500 0.500 (multiplicity 1)
Br 0.041 0.690 0.804 (multiplicity 2)
Br 0.043 0.731 0.340 (multiplicity 2)
Br 0.468 0.946 0.774 (multiplicity 2)

Record 4
First-principles (GGA-PBE) data for In2PbI2Br2 after structural relaxation, as listed in Alexandria.

Calculated values
The calculation puts the calculated volume at 40.08 Å³/atom. Its density of states at the Fermi level is 0.0 states/eV/cell. For the uncorrected formation energy, the calculation gives -635 meV per atom.

Unit cell a=16.276 b=4.484 c=8.350 alpha=90.00 beta=112.97 gamma=90.00
Space group C2/m (No. 12)
Inequivalent atoms, fractional coordinates:
In 0.130 0.000 0.062 (multiplicity 4)
Pb 0.000 0.000 0.500 (multiplicity 2)
I 0.212 0.000 0.744 (multiplicity 4)
Br 0.019 0.500 0.264 (multiplicity 4)

Record 5
First-principles (GGA-PBE) data for YCuSb3 after structural relaxation, as listed in Alexandria.

Calculated values
The calculation puts the calculated volume at 26.89 Å³/atom. The calculation puts the energy above the lowest structure with this stoichiometry at 0.0 kJ per mole of atoms. Its density of states at the Fermi level is 3.2 states/eV/cell. For the uncorrected formation energy, the calculation gives 25 meV per atom.

Unit cell a=5.123 b=5.123 c=5.123 alpha=90.00 beta=90.00 gamma=90.00
Space group Pm-3m (No. 221)
Inequivalent atoms, fractional coordinates:
Y 0.000 0.000 0.000 (multiplicity 1)
Cu 0.500 0.500 0.500 (multiplicity 1)
Sb 0.000 0.500 0.500 (multiplicity 3)

Record 6
First-principles (GGA-PBE) data for Sm4Dy2Sc5 after structural relaxation, as listed in Alexandria.

Calculated values
The calculation puts the calculated volume at 29.76 Å³/atom. As for the formation energy: 1.71 eV per formula unit. Its density of states at the Fermi level is 35.6 states/eV/cell.

Unit cell a=22.702 b=3.378 c=8.547 alpha=90.00 beta=92.50 gamma=90.00
Space group C2/m (No. 12)
Inequivalent atoms, fractional coordinates:
Sm 0.049 0.000 0.333 (multiplicity 4)
Sm 0.088 0.500 0.696 (multiplicity 4)
Dy 0.231 0.500 0.822 (multiplicity 4)
Sc 0.000 0.500 0.000 (multiplicity 2)
Sc 0.129 0.000 0.027 (multiplicity 4)
Sc 0.190 0.000 0.484 (multiplicity 4)

Record 7
First-principles (GGA-PBE) data for ScBS3 after structural relaxation, as listed in Alexandria.

Calculated values
The calculation puts the calculated volume at 23.92 Å³/atom. The calculation puts the energy above the lowest structure with this stoichiometry at 149.7 kJ per mole of atoms. Its density of states at the Fermi level is 6.0 states/eV/cell. For the uncorrected formation energy, the calculation gives 548 meV per atom.

Unit cell a=4.927 b=4.927 c=4.927 alpha=90.00 beta=90.00 gamma=90.00
Space group Pm-3m (No. 221)
Inequivalent atoms, fractional coordinates:
Sc 0.000 0.000 0.000 (multiplicity 1)
B 0.500 0.500 0.500 (multiplicity 1)
S 0.000 0.000 0.500 (multiplicity 3)

Record 8
First-principles (GGA-PBE) data for PrIn2Au9 after structural relaxation, as listed in Alexandria.

Calculated values
The calculation puts the calculated volume at 21.13 Å³/atom. As for the formation energy: -2.85 eV per formula unit. Its density of states at the Fermi level is 14.4 states/eV/cell.

Unit cell a=5.6146 b=5.6146 c=27.8628 alpha=90.00 beta=90.00 gamma=120.00
Space group R-3m (No. 166, hexagonal axes)
Inequivalent atoms, fractional coordinates:
Pr 0.0000 0.0000 0.0000 (multiplicity 3)
In 0.0000 0.0000 0.1435 (multiplicity 6)
Au 0.0000 0.0000 0.3331 (multiplicity 6)
Au 0.0000 0.0000 0.5000 (multiplicity 3)
Au 0.0032 0.5016 0.9154 (multiplicity 18)

Record 9
First-principles (GGA-PBE) data for SrMg2Ag2Sn2 after structural relaxation, as listed in Alexandria.

Calculated values
The calculation puts the calculated volume at 24.66 Å³/atom. As for the formation energy: -2.50 eV per formula unit. Its density of states at the Fermi level is 3.3 states/eV/cell.

Unit cell a=4.7518 b=4.7518 c=26.4873 alpha=90.00 beta=90.00 gamma=120.00
Space group R-3m (No. 166, hexagonal axes)
Inequivalent atoms, fractional coordinates:
Sr 0.0000 0.0000 0.0000 (multiplicity 3)
Mg 0.0000 0.0000 0.1383 (multiplicity 6)
Ag 0.0000 0.0000 0.4403 (multiplicity 6)
Sn 0.0000 0.0000 0.2540 (multiplicity 6)

Record 10
First-principles (GGA-PBE) data for UCu2Ag2Te4 after structural relaxation, as listed in Alexandria.

Calculated values
The calculation puts the calculated volume at 26.10 Å³/atom. Its density of states at the Fermi level is 9.4 states/eV/cell. For the uncorrected formation energy, the calculation gives -213 meV per atom.

Unit cell a=15.588 b=4.254 c=8.305 alpha=90.00 beta=121.48 gamma=90.00
Space group C2/m (No. 12)
Inequivalent atoms, fractional coordinates:
U 0.000 0.000 0.000 (multiplicity 2)
Cu 0.184 0.500 0.995 (multiplicity 4)
Ag 0.155 0.000 0.486 (multiplicity 4)
Te 0.006 0.500 0.270 (multiplicity 4)
Te 0.233 0.000 0.221 (multiplicity 4)

Record 11
First-principles (GGA-PBE) data for Gd2TlI after structural relaxation, as listed in Alexandria.

Calculated values
The calculation puts the calculated volume at 28.84 Å³/atom. The calculation puts the energy above the lowest structure with this stoichiometry at 0.0 kJ per mole of atoms. Its density of states at the Fermi level is 5.5 states/eV/cell. For the uncorrected formation energy, the calculation gives -554 meV per atom.

Unit cell a=3.699 b=3.699 c=8.432 alpha=90.00 beta=90.00 gamma=90.00
Space group P4/mmm (No. 123)
Inequivalent atoms, fractional coordinates:
Gd 0.000 0.000 0.240 (multiplicity 2)
Tl 0.500 0.500 0.000 (multiplicity 1)
I 0.500 0.500 0.500 (multiplicity 1)

Record 12
First-principles (GGA-PBE) data for RbLi4S2Br after structural relaxation, as listed in Alexandria.

Calculated values
The calculation puts the calculated volume at 22.36 Å³/atom. Its density of states at the Fermi level is 0.0 states/eV/cell. For the uncorrected formation energy, the calculation gives -1281 meV per atom.

Unit cell a=4.218 b=4.218 c=10.055 alpha=90.00 beta=90.00 gamma=90.00
Space group P4/mmm (No. 123)
Inequivalent atoms, fractional coordinates:
Rb 0.000 0.000 0.000 (multiplicity 1)
Li 0.000 0.500 0.320 (multiplicity 4)
S 0.500 0.500 0.219 (multiplicity 2)
Br 0.000 0.000 0.500 (multiplicity 1)

| no. | total moment (μB/atom) |
| --- | --- |
| 1 | 0.000 |
| 2 | 1.058 |
| 3 | 0.000 |
| 4 | 0.000 |
| 5 | 0.000 |
| 6 | 0.000 |
| 7 | 0.001 |
| 8 | 0.000 |
| 9 | 0.000 |
| 10 | 0.222 |
| 11 | 3.869 |
| 12 | 0.000 |